La2ZrBe | PBE-GGA | relaxed

a b c (Å): 4.3353 4.3353 21.6577
angles (deg): 90.00 90.00 90.00
Last column: nearest neighbours and their distance in Å.
Element x y z (fractional)
La 0.2369 0.2500 0.1250  4 La 2.99-3.15, 2 Be 3.09, 2 Zr 3.13
La 0.2500 0.7369 0.3750  4 La 2.99-3.15, 2 Be 3.09, 2 Zr 3.13
La 0.2500 0.7631 0.8750  4 La 2.99-3.15, 2 Be 3.09, 2 Zr 3.13
La 0.2631 0.2500 0.6250  4 La 2.99-3.15, 2 Be 3.09, 2 Zr 3.13
La 0.7369 0.7500 0.6250  4 La 2.99-3.15, 2 Be 3.09, 2 Zr 3.13
La 0.7500 0.2369 0.8750  4 La 2.99-3.15, 2 Be 3.09, 2 Zr 3.13
La 0.7500 0.2631 0.3750  4 La 2.99-3.15, 2 Be 3.09, 2 Zr 3.13
La 0.7631 0.7500 0.1250  4 La 2.99-3.15, 2 Be 3.09, 2 Zr 3.13
Zr 0.0000 0.0000 0.5000  4 Be 3.07, 4 La 3.13
Zr 0.0000 0.5000 0.7500  4 Be 3.07, 4 La 3.13
Zr 0.5000 0.0000 0.2500  4 Be 3.07, 4 La 3.13
Zr 0.5000 0.5000 0.0000  4 Be 3.07, 4 La 3.13
Be 0.0000 0.0000 0.0000  4 Zr 3.07, 4 La 3.09
Be 0.0000 0.5000 0.2500  4 Zr 3.07, 4 La 3.09
Be 0.5000 0.0000 0.7500  4 Zr 3.07, 4 La 3.09
Be 0.5000 0.5000 0.5000  4 Zr 3.07, 4 La 3.09

E = -78.26 eV for the cell shown
energy of formation = 641 meV per atom
calculated density = 6.169 g/cm3
total magnetization = 0.000 μB/atom


La2ZrBe | PBE-GGA | relaxed

a b c (Å): 3.5180 3.5180 30.2084
angles (deg): 90.00 90.00 120.00
Last column: nearest neighbours and their distance in Å.
Element x y z (fractional)
La 0.0000 0.0000 0.2402  3 Be 3.01
La 0.0000 0.0000 0.7598  3 Be 3.01
La 0.3333 0.6667 0.4264  3 Be 3.01
La 0.3333 0.6667 0.9069  3 Be 3.01
La 0.6667 0.3333 0.0931  3 Be 3.01
La 0.6667 0.3333 0.5736  3 Be 3.01
Zr 0.0000 0.0000 0.0000  6 La 3.47, 6 Zr 3.52
Zr 0.3333 0.6667 0.6667  6 La 3.47, 6 Zr 3.52
Zr 0.6667 0.3333 0.3333  6 La 3.47, 6 Zr 3.52
Be 0.0000 0.0000 0.5000  6 La 3.01
Be 0.3333 0.6667 0.1667  6 La 3.01
Be 0.6667 0.3333 0.8333  6 La 3.01

E = -61.25 eV for the cell shown
energy of formation = 428 meV per atom
calculated density = 5.817 g/cm3
total magnetization = 0.000 μB/atom


LaZrBe | PBE-GGA | relaxed

a b c (Å): 4.4200 4.4200 4.2823
angles (deg): 90.00 90.00 120.00
Last column: nearest neighbours and their distance in Å.
Element x y z (fractional)
La 0.0000 0.0000 0.0000  6 Be 3.33, 6 Zr 3.33
Zr 0.6667 0.3333 0.5000  3 Be 2.55
Be 0.3333 0.6667 0.5000  3 Zr 2.55

E = -16.21 eV for the cell shown
energy of formation = 331 meV per atom
ΔE to the lowest computed polymorph = 0.147 eV/atom
calculated density = 5.481 g/cm3
total magnetization = 0.000 μB/atom


La2ZrBe | PBE-GGA | relaxed

a b c (Å): 4.6377 4.6377 4.7088
angles (deg): 90.00 90.00 90.00
Last column: nearest neighbours and their distance in Å.
Element x y z (fractional)
La 0.0000 0.5000 0.0000  4 La 3.28, 4 Zr 3.30, 4 Be 3.30
La 0.5000 0.0000 0.0000  4 La 3.28, 4 Zr 3.30, 4 Be 3.30
Zr 0.0000 0.0000 0.5000  4 Be 3.28, 8 La 3.30
Be 0.5000 0.5000 0.5000  4 Zr 3.28, 8 La 3.30

E = -20.73 eV for the cell shown
energy of formation = 350 meV per atom
calculated density = 6.198 g/cm3
total magnetization = 0.000 μB/atom


The lowest calculated density belongs to which entry? LaZrBe